Entry 1:
SmCrC after structural relaxation. Source: Alexandria, functional PBE.

Cell and atoms, written as POSCAR:
```
SmCrC
1.0
3.331 0.000 0.000
0.000 6.644 0.094
0.000 -0.138 8.710
Sm Cr C
4 4 4
direct
0.250 0.874 0.201
0.750 0.126 0.799
0.250 0.374 0.201
0.750 0.626 0.799
0.750 0.375 0.500
0.250 0.125 0.500
0.250 0.625 0.500
0.750 0.875 0.500
0.750 0.125 0.350
0.250 0.375 0.650
0.250 0.875 0.650
0.750 0.625 0.350
```

Summary:
VASP energy: -96.0 eV for the cell shown
energy above the most stable polymorph in this dataset: 0 meV per atom
mass density: 7.4 Mg/m³
DOS(E_F): 9.949 states/eV/cell
energy of formation from the pure elements: -147 meV per atom

=====

Entry 2:
SmCrC after structural relaxation. Source: Alexandria, functional PBE.

Cell and atoms, written as POSCAR:
```
SmCrC
1.0
4.670 0.000 0.000
0.000 3.431 0.000
0.000 -1.715 2.971
Sm Cr C
1 1 1
direct
0.667 0.667 0.333
0.167 0.333 0.667
0.166 0.000 0.000
```

Summary:
VASP energy: -22.9 eV for the cell shown
energy above the most stable polymorph in this dataset: 382 meV per atom
mass density: 7.5 Mg/m³
DOS(E_F): 2.968 states/eV/cell
energy of formation from the pure elements: 235 meV per atom

=====

Entry 3:
Sm2CrC2 after structural relaxation. Source: Alexandria, functional PBE.

Cell and atoms, written as POSCAR:
```
Sm2CrC2
1.0
5.242 0.000 0.000
2.621 5.587 0.204
2.621 2.005 5.923
C Cr Sm
4 2 4
direct
0.506 0.780 0.207
0.190 0.240 0.379
0.494 0.220 0.793
0.810 0.760 0.621
0.367 0.137 0.129
0.633 0.863 0.871
0.963 0.291 0.783
0.684 0.257 0.376
0.037 0.709 0.217
0.316 0.743 0.624
```

Summary:
VASP energy: -76.7 eV for the cell shown
mass density: 7.3 Mg/m³
DOS(E_F): 5.291 states/eV/cell
energy of formation from the pure elements: -165 meV per atom

=====

Question: Which of these has the lowest DOS(E_F)?
Answer: number 2